{"formula": "Hf2AgHg", "functional": "PBE-GGA", "state": "relaxed", "cell": [[4.559, 0.000, 0.000], [0.000, 4.544, 0.000], [0.000, 0.000, 8.071]], "species": ["Hf", "Hf", "Hf", "Hf", "Ag", "Ag", "Hg", "Hg"], "fractional_positions": [[0.250, 0.000, 0.126], [0.250, 0.500, 0.872], [0.750, 0.000, 0.874], [0.750, 0.500, 0.128], [0.250, 0.000, 0.623], [0.750, 0.000, 0.377], [0.250, 0.500, 0.381], [0.750, 0.500, 0.619]], "delta_e_f_ev_per_fu": -0.42, "space_group": "Pmma (51)", "magnetic_moment_mub_per_fu": 0.0, "vol_a3_per_fu": 83.6}


{"formula": "Pm2Pr4ErTm2", "functional": "PBE-GGA", "state": "relaxed", "cell": [[7.724, -2.573, 0.000], [7.724, 2.573, 0.000], [-2.579, 0.000, 7.649]], "species": ["Pm", "Pm", "Pr", "Pr", "Pr", "Pr", "Er", "Tm", "Tm"], "fractional_positions": [[0.112, 0.112, 0.171], [0.888, 0.888, 0.829], [0.222, 0.222, 0.829], [0.446, 0.446, 0.171], [0.554, 0.554, 0.829], [0.778, 0.778, 0.171], [0.000, 0.000, 0.500], [0.333, 0.333, 0.500], [0.667, 0.667, 0.500]], "delta_e_f_ev_per_fu": 0.24, "space_group": "C2/m (12)", "magnetic_moment_mub_per_fu": 0.0, "vol_a3_per_fu": 304.1}


{"formula": "KGe2OsO8", "functional": "PBE-GGA", "state": "relaxed", "cell": [[5.048, 0.000, 0.000], [1.639, 4.775, 0.000], [1.756, 1.252, 6.742]], "species": ["K", "Ge", "Ge", "Os", "O", "O", "O", "O", "O", "O", "O", "O"], "fractional_positions": [[0.000, 0.000, 0.000], [0.458, 0.459, 0.208], [0.542, 0.541, 0.792], [0.000, 0.000, 0.500], [0.226, 0.760, 0.697], [0.230, 0.233, 0.425], [0.243, 0.776, 0.303], [0.344, 0.346, 0.024], [0.656, 0.654, 0.976], [0.757, 0.224, 0.697], [0.770, 0.767, 0.575], [0.774, 0.240, 0.303]], "raw_formation_energy_kj_per_mol_fu": -1423, "space_group": "P-1 (2)", "magnetic_moment_mub_per_fu": 0.0, "vol_a3_per_fu": 162.5}


{"formula": "Ca2AgBr", "functional": "PBE-GGA", "state": "relaxed", "cell": [[3.727, 0.000, 0.000], [0.000, 3.727, 0.000], [0.000, 0.000, 9.458]], "species": ["Ca", "Ca", "Ag", "Br"], "fractional_positions": [[0.000, 0.000, 0.000], [0.500, 0.500, 0.330], [0.000, 0.000, 0.507], [0.500, 0.500, 0.843]], "raw_formation_energy_kj_per_mol_fu": -243, "de_polymorph_mev_per_atom": 186, "space_group": "P4mm (99)", "magnetic_moment_mub_per_fu": 0.0, "vol_a3_per_fu": 131.4}


{"formula": "Pu2ThIn3", "functional": "PBE-GGA", "state": "relaxed", "cell": [[4.145, 0.000, 0.000], [0.000, 4.145, 0.000], [0.000, 0.000, 9.565]], "species": ["Pu", "Pu", "Th", "In", "In", "In"], "fractional_positions": [[0.000, 0.000, 0.164], [0.000, 0.000, 0.836], [0.000, 0.000, 0.500], [0.500, 0.500, 0.000], [0.500, 0.500, 0.329], [0.500, 0.500, 0.671]], "delta_e_f_ev_per_fu": -0.83, "space_group": "P4/mmm (123)", "magnetic_moment_mub_per_fu": 12.3, "vol_a3_per_fu": 164.3}


{"formula": "HfTaOsRu", "functional": "PBE-GGA", "state": "relaxed", "cell": [[3.157, 0.000, 0.000], [0.000, 3.157, 0.000], [0.000, 0.000, 6.672]], "species": ["Hf", "Ta", "Os", "Ru"], "fractional_positions": [[0.000, 0.000, 0.000], [0.000, 0.000, 0.498], [0.500, 0.500, 0.741], [0.500, 0.500, 0.256]], "delta_e_f_ev_per_fu": -2.06, "space_group": "P4mm (99)", "magnetic_moment_mub_per_fu": 0.0, "vol_a3_per_fu": 66.5}


{"formula": "SrReNi2", "functional": "PBE-GGA", "state": "relaxed", "cell": [[2.932, 0.000, 0.000], [-1.466, 2.540, 0.000], [0.000, 0.000, 26.785]], "species": ["Sr", "Sr", "Sr", "Re", "Re", "Re", "Ni", "Ni", "Ni", "Ni", "Ni", "Ni"], "fractional_positions": [[0.000, 0.000, 0.000], [0.333, 0.667, 0.667], [0.667, 0.333, 0.333], [0.000, 0.000, 0.500], [0.333, 0.667, 0.167], [0.667, 0.333, 0.833], [0.000, 0.000, 0.237], [0.000, 0.000, 0.763], [0.333, 0.667, 0.429], [0.333, 0.667, 0.904], [0.667, 0.333, 0.096], [0.667, 0.333, 0.571]], "delta_e_f_ev_per_fu": 3.20, "de_polymorph_mev_per_atom": 659, "space_group": "R-3m (166)", "magnetic_moment_mub_per_fu": 0.0, "vol_a3_per_fu": 66.5}


{"formula": "CsBO2F", "functional": "PBE-GGA", "state": "relaxed", "cell": [[3.432, 0.000, 0.000], [0.000, 3.432, 0.000], [0.000, 0.000, 6.078]], "species": ["Cs", "B", "O", "O", "F"], "fractional_positions": [[0.000, 0.000, 0.000], [0.500, 0.500, 0.500], [0.000, 0.500, 0.500], [0.500, 0.000, 0.500], [0.500, 0.500, 0.000]], "raw_formation_energy_kj_per_mol_fu": -368, "space_group": "P4/mmm (123)", "magnetic_moment_mub_per_fu": 0.6, "vol_a3_per_fu": 71.6}